Here is PaIn2CoO6 after structural relaxation from Alexandria. Energies are from GGA+U.

a b c (Å): 6.317 6.041 5.704
angles (deg): 67.23 64.83 49.23
Site moments in Bohr magnetons follow the coordinates.
Sites, in units of the cell vectors:
In1 0.543 0.515 0.414  -0.05
In2 0.978 0.153 0.813  0.00
O1 0.695 0.124 0.717  0.00
O2 0.028 0.453 0.839  0.01
O3 0.359 0.933 0.195  -0.02
O4 0.677 0.178 0.213  -0.01
O5 0.310 0.704 0.809  -0.01
O6 0.916 0.474 0.420  0.01
Pa1 0.299 0.329 0.066  -0.06
Co1 0.857 0.798 0.530  2.33

Output
The density of states at the Fermi level is 0.20 states/eV/atom. As for the total DFT energy (no corrections): -6.8922 eV per atom.